The following is a PBE with a Hubbard U calculation of Rb2PaMn3O12 after structural relaxation, from Alexandria via LeMat-Bulk.

* magnetization: 3.991 μB/f.u.
* total energy: -6.62 eV/atom

abc: 7.4775 7.4775 7.4775
angles: 56.62 56.62 56.62
Each line ends with the local moment (μB).
Element x y z (fractional)
Mn 0.5000 0.0000 0.0000  3.14
Rb 0.3841 0.3841 0.3841  0.00
Mn 0.0000 0.0000 0.5000  3.14
Pa 0.0000 0.0000 0.0000  -0.09
O 0.9262 0.3473 0.9262  -0.28
O 0.6836 0.0791 0.6836  -0.51
O 0.0791 0.6836 0.6836  -0.51
O 0.9262 0.9262 0.3473  -0.28
O 0.3164 0.9209 0.3164  -0.51
Mn 0.0000 0.5000 0.0000  3.14
O 0.3164 0.3164 0.9209  -0.51
O 0.0738 0.0738 0.6527  -0.28
O 0.6836 0.6836 0.0791  -0.51
O 0.3473 0.9262 0.9262  -0.28
Rb 0.6159 0.6159 0.6159  0.00
O 0.0738 0.6527 0.0738  -0.28
O 0.6527 0.0738 0.0738  -0.28
O 0.9209 0.3164 0.3164  -0.51